[1]
# Pu2HfThSb4 PBE optimized geometry
data_Pu2HfThSb4
_space_group_name_H-M_alt 'P 1'
_space_group_IT_number 1
_cell_length_a 4.374
_cell_length_b 7.586
_cell_length_c 7.573
_cell_angle_alpha 109.38
_cell_angle_beta 90.00
_cell_angle_gamma 90.00
loop_
_space_group_symop_operation_xyz
'x,y,z'
loop_
_atom_site_label
_atom_site_type_symbol
_atom_site_fract_x
_atom_site_fract_y
_atom_site_fract_z
Pu1 Pu 0.500 0.000 0.500
Pu2 Pu 0.000 0.500 0.500
Hf1 Hf 0.000 0.000 0.000
Th1 Th 0.500 0.500 0.000
Sb1 Sb 0.500 0.232 0.237
Sb2 Sb 0.500 0.768 0.763
Sb3 Sb 0.000 0.236 0.753
Sb4 Sb 0.000 0.764 0.247
# ΔE_f (raw): -0.65 eV/atom

***

[2]
# TmPu2HfSb4 PBE optimized geometry
data_TmPu2HfSb4
_space_group_name_H-M_alt 'P 1'
_space_group_IT_number 1
_cell_length_a 4.312
_cell_length_b 7.497
_cell_length_c 7.480
_cell_angle_alpha 109.31
_cell_angle_beta 90.00
_cell_angle_gamma 90.00
loop_
_space_group_symop_operation_xyz
'x,y,z'
loop_
_atom_site_label
_atom_site_type_symbol
_atom_site_fract_x
_atom_site_fract_y
_atom_site_fract_z
Tm1 Tm 0.500 0.500 0.000
Pu1 Pu 0.500 0.000 0.500
Pu2 Pu 0.000 0.500 0.500
Hf1 Hf 0.000 0.000 0.000
Sb1 Sb 0.500 0.237 0.234
Sb2 Sb 0.500 0.763 0.766
Sb3 Sb 0.000 0.246 0.761
Sb4 Sb 0.000 0.754 0.239
# ΔE_f (raw): -0.70 eV/atom

***

[3]
# Pu2HfUSb4 PBE optimized geometry
data_Pu2HfUSb4
_space_group_name_H-M_alt 'P 1'
_space_group_IT_number 1
_cell_length_a 5.497
_cell_length_b 8.593
_cell_length_c 5.500
_cell_angle_alpha 129.63
_cell_angle_beta 90.00
_cell_angle_gamma 90.00
loop_
_space_group_symop_operation_xyz
'x,y,z'
loop_
_atom_site_label
_atom_site_type_symbol
_atom_site_fract_x
_atom_site_fract_y
_atom_site_fract_z
Pu1 Pu 0.500 0.000 0.500
Pu2 Pu 0.000 0.500 0.500
Hf1 Hf 0.000 0.000 0.000
U1 U 0.500 0.500 0.000
Sb1 Sb 0.500 0.757 0.757
Sb2 Sb 0.500 0.243 0.243
Sb3 Sb 0.000 0.757 0.257
Sb4 Sb 0.000 0.243 0.743
# ΔE_f (raw): -0.40 eV/atom

***

[4]
# PuHf2Sc12 PBE optimized geometry
data_PuHf2Sc12
_space_group_name_H-M_alt 'P 1'
_space_group_IT_number 1
_cell_length_a 5.792
_cell_length_b 5.792
_cell_length_c 22.491
_cell_angle_alpha 90.00
_cell_angle_beta 90.00
_cell_angle_gamma 90.00
loop_
_space_group_symop_operation_xyz
'x,y,z'
loop_
_atom_site_label
_atom_site_type_symbol
_atom_site_fract_x
_atom_site_fract_y
_atom_site_fract_z
Pu1 Pu 0.500 0.000 0.000
Pu2 Pu 0.000 0.500 0.000
Hf1 Hf 0.500 0.000 0.279
Hf2 Hf 0.000 0.500 0.279
Hf3 Hf 0.000 0.500 0.721
Hf4 Hf 0.500 0.000 0.721
Sc1 Sc 0.500 0.500 0.784
Sc2 Sc 0.000 0.000 0.784
Sc3 Sc 0.684 0.816 0.887
Sc4 Sc 0.184 0.684 0.887
Sc5 Sc 0.000 0.000 0.338
Sc6 Sc 0.316 0.816 0.113
Sc7 Sc 0.831 0.331 0.563
Sc8 Sc 0.500 0.500 0.338
Sc9 Sc 0.316 0.184 0.887
Sc10 Sc 0.816 0.684 0.113
Sc11 Sc 0.331 0.169 0.563
Sc12 Sc 0.669 0.169 0.437
Sc13 Sc 0.000 0.000 0.662
Sc14 Sc 0.169 0.331 0.437
Sc15 Sc 0.184 0.316 0.113
Sc16 Sc 0.831 0.669 0.437
Sc17 Sc 0.669 0.831 0.563
Sc18 Sc 0.000 0.000 0.216
Sc19 Sc 0.169 0.669 0.563
Sc20 Sc 0.500 0.500 0.662
Sc21 Sc 0.816 0.316 0.887
Sc22 Sc 0.500 0.500 0.216
Sc23 Sc 0.331 0.831 0.437
Sc24 Sc 0.684 0.184 0.113
# Formation enthalpy at 0 K: 572 meV per atom

***

[5]
# Pu2HfSc8 PBE optimized geometry
data_Pu2HfSc8
_space_group_name_H-M_alt 'P 1'
_space_group_IT_number 1
_cell_length_a 13.244
_cell_length_b 7.603
_cell_length_c 7.603
_cell_angle_alpha 86.56
_cell_angle_beta 132.12
_cell_angle_gamma 132.12
loop_
_space_group_symop_operation_xyz
'x,y,z'
loop_
_atom_site_label
_atom_site_type_symbol
_atom_site_fract_x
_atom_site_fract_y
_atom_site_fract_z
Pu1 Pu 0.515 0.652 0.652
Pu2 Pu 0.485 0.348 0.348
Hf1 Hf 0.000 0.000 0.000
Sc1 Sc 0.195 0.340 0.849
Sc2 Sc 0.805 0.151 0.660
Sc3 Sc 0.292 0.870 0.870
Sc4 Sc 0.708 0.130 0.130
Sc5 Sc 0.195 0.849 0.340
Sc6 Sc 0.805 0.660 0.151
Sc7 Sc 0.890 0.618 0.618
Sc8 Sc 0.110 0.382 0.382
# Formation enthalpy at 0 K: 486 meV per atom

***

[6]
# Pu3Hf2Sc8 PBE optimized geometry
data_Pu3Hf2Sc8
_space_group_name_H-M_alt 'P 1'
_space_group_IT_number 1
_cell_length_a 6.232
_cell_length_b 5.973
_cell_length_c 10.465
_cell_angle_alpha 106.59
_cell_angle_beta 92.32
_cell_angle_gamma 56.08
loop_
_space_group_symop_operation_xyz
'x,y,z'
loop_
_atom_site_label
_atom_site_type_symbol
_atom_site_fract_x
_atom_site_fract_y
_atom_site_fract_z
Pu1 Pu 0.500 0.000 0.000
Pu2 Pu 0.035 0.260 0.034
Pu3 Pu 0.965 0.740 0.966
Hf1 Hf 0.453 0.757 0.465
Hf2 Hf 0.547 0.243 0.535
Sc1 Sc 0.957 0.395 0.614
Sc2 Sc 0.043 0.605 0.386
Sc3 Sc 0.059 0.880 0.701
Sc4 Sc 0.941 0.120 0.299
Sc5 Sc 0.555 0.931 0.243
Sc6 Sc 0.431 0.484 0.151
Sc7 Sc 0.569 0.516 0.849
Sc8 Sc 0.445 0.069 0.757
# Formation enthalpy at 0 K: 118 meV per atom

***

[7]
# Pu2Hf2Sc7 PBE optimized geometry
data_Pu2Hf2Sc7
_space_group_name_H-M_alt 'P 1'
_space_group_IT_number 1
_cell_length_a 7.824
_cell_length_b 5.952
_cell_length_c 5.952
_cell_angle_alpha 93.38
_cell_angle_beta 80.52
_cell_angle_gamma 80.52
loop_
_space_group_symop_operation_xyz
'x,y,z'
loop_
_atom_site_label
_atom_site_type_symbol
_atom_site_fract_x
_atom_site_fract_y
_atom_site_fract_z
Pu1 Pu 0.500 0.326 0.674
Pu2 Pu 0.500 0.674 0.326
Hf1 Hf 0.849 0.397 0.397
Hf2 Hf 0.151 0.603 0.603
Sc1 Sc 0.200 0.086 0.451
Sc2 Sc 0.800 0.549 0.914
Sc3 Sc 0.800 0.914 0.549
Sc4 Sc 0.200 0.451 0.086
Sc5 Sc 0.000 0.000 0.000
Sc6 Sc 0.407 0.852 0.852
Sc7 Sc 0.593 0.148 0.148
# Energy above the most stable polymorph in this dataset: 0.0 kJ per mole of atoms
# Formation enthalpy at 0 K: 151 meV per atom

***

[8]
# Pu2Hf4Sc5 PBE optimized geometry
data_Pu2Hf4Sc5
_space_group_name_H-M_alt 'P 1'
_space_group_IT_number 1
_cell_length_a 3.114
_cell_length_b 7.801
_cell_length_c 13.267
_cell_angle_alpha 99.46
_cell_angle_beta 125.94
_cell_angle_gamma 78.49
loop_
_space_group_symop_operation_xyz
'x,y,z'
loop_
_atom_site_label
_atom_site_type_symbol
_atom_site_fract_x
_atom_site_fract_y
_atom_site_fract_z
Pu1 Pu 0.398 0.264 0.812
Pu2 Pu 0.602 0.736 0.188
Hf1 Hf 0.230 0.181 0.528
Hf2 Hf 0.947 0.625 0.904
Hf3 Hf 0.770 0.819 0.472
Hf4 Hf 0.053 0.375 0.096
Sc1 Sc 0.821 0.538 0.636
Sc2 Sc 0.179 0.462 0.364
Sc3 Sc 0.862 0.902 0.725
Sc4 Sc 0.500 0.000 0.000
Sc5 Sc 0.138 0.098 0.275
# Formation enthalpy at 0 K: 81 meV per atom

***

[9]
# PuHf3Sc6 PBE optimized geometry
data_PuHf3Sc6
_space_group_name_H-M_alt 'P 1'
_space_group_IT_number 1
_cell_length_a 3.180
_cell_length_b 13.398
_cell_length_c 12.846
_cell_angle_alpha 86.81
_cell_angle_beta 82.89
_cell_angle_gamma 118.32
loop_
_space_group_symop_operation_xyz
'x,y,z'
loop_
_atom_site_label
_atom_site_type_symbol
_atom_site_fract_x
_atom_site_fract_y
_atom_site_fract_z
Pu1 Pu 0.519 0.382 0.991
Pu2 Pu 0.481 0.618 0.009
Hf1 Hf 0.260 0.157 0.611
Hf2 Hf 0.740 0.843 0.389
Hf3 Hf 0.194 0.570 0.390
Hf4 Hf 0.806 0.430 0.610
Hf5 Hf 0.391 0.019 0.796
Hf6 Hf 0.609 0.981 0.204
Sc1 Sc 0.201 0.332 0.426
Sc2 Sc 0.799 0.668 0.574
Sc3 Sc 0.008 0.883 0.016
Sc4 Sc 0.992 0.117 0.984
Sc5 Sc 0.293 0.921 0.599
Sc6 Sc 0.707 0.079 0.401
Sc7 Sc 0.097 0.726 0.211
Sc8 Sc 0.903 0.274 0.789
Sc9 Sc 0.426 0.535 0.791
Sc10 Sc 0.574 0.465 0.209
Sc11 Sc 0.586 0.217 0.195
Sc12 Sc 0.414 0.783 0.805
# Formation enthalpy at 0 K: 54 meV per atom

***

[10]
# PuHfSc14 PBE optimized geometry
data_PuHfSc14
_space_group_name_H-M_alt 'P 1'
_space_group_IT_number 1
_cell_length_a 6.503
_cell_length_b 6.503
_cell_length_c 9.132
_cell_angle_alpha 90.00
_cell_angle_beta 90.00
_cell_angle_gamma 90.10
loop_
_space_group_symop_operation_xyz
'x,y,z'
loop_
_atom_site_label
_atom_site_type_symbol
_atom_site_fract_x
_atom_site_fract_y
_atom_site_fract_z
Pu1 Pu 0.875 0.125 0.000
Hf1 Hf 0.375 0.625 0.000
Sc1 Sc 0.375 0.625 0.500
Sc2 Sc 0.875 0.125 0.500
Sc3 Sc 0.875 0.625 0.000
Sc4 Sc 0.875 0.625 0.500
Sc5 Sc 0.375 0.125 0.000
Sc6 Sc 0.375 0.125 0.500
Sc7 Sc 0.622 0.872 0.756
Sc8 Sc 0.622 0.872 0.244
Sc9 Sc 0.128 0.378 0.756
Sc10 Sc 0.128 0.378 0.244
Sc11 Sc 0.128 0.872 0.756
Sc12 Sc 0.128 0.872 0.244
Sc13 Sc 0.622 0.378 0.756
Sc14 Sc 0.622 0.378 0.244
# Formation enthalpy at 0 K: 56 meV per atom

***

[11]
# PuHf3Sc7 PBE optimized geometry
data_PuHf3Sc7
_space_group_name_H-M_alt 'P 1'
_space_group_IT_number 1
_cell_length_a 7.691
_cell_length_b 6.383
_cell_length_c 6.383
_cell_angle_alpha 120.00
_cell_angle_beta 90.00
_cell_angle_gamma 90.00
loop_
_space_group_symop_operation_xyz
'x,y,z'
loop_
_atom_site_label
_atom_site_type_symbol
_atom_site_fract_x
_atom_site_fract_y
_atom_site_fract_z
Pu1 Pu 0.449 0.333 0.667
Hf1 Hf 0.781 0.497 0.503
Hf2 Hf 0.781 0.497 0.995
Hf3 Hf 0.781 0.005 0.503
Sc1 Sc 0.110 0.169 0.831
Sc2 Sc 0.110 0.169 0.337
Sc3 Sc 0.112 0.667 0.333
Sc4 Sc 0.460 0.833 0.167
Sc5 Sc 0.460 0.334 0.167
Sc6 Sc 0.460 0.833 0.666
Sc7 Sc 0.110 0.663 0.831
# Formation enthalpy at 0 K: 266 meV per atom

***

[12]
# Pu2Hf2Sc7 PBE optimized geometry
data_Pu2Hf2Sc7
_space_group_name_H-M_alt 'P 1'
_space_group_IT_number 1
_cell_length_a 3.225
_cell_length_b 10.766
_cell_length_c 10.768
_cell_angle_alpha 50.03
_cell_angle_beta 72.56
_cell_angle_gamma 72.56
loop_
_space_group_symop_operation_xyz
'x,y,z'
loop_
_atom_site_label
_atom_site_type_symbol
_atom_site_fract_x
_atom_site_fract_y
_atom_site_fract_z
Pu1 Pu 0.500 0.269 0.730
Pu2 Pu 0.500 0.731 0.270
Hf1 Hf 0.054 0.723 0.723
Hf2 Hf 0.946 0.277 0.277
Sc1 Sc 0.330 0.638 0.033
Sc2 Sc 0.670 0.967 0.362
Sc3 Sc 0.670 0.362 0.967
Sc4 Sc 0.330 0.033 0.638
Sc5 Sc 0.173 0.414 0.414
Sc6 Sc 0.000 0.000 0.000
Sc7 Sc 0.827 0.586 0.586
# Energy above the most stable polymorph in this dataset: 5.4 kJ per mole of atoms
# Formation enthalpy at 0 K: 208 meV per atom

***

[13]
# PuHf2Sc4 PBE optimized geometry
data_PuHf2Sc4
_space_group_name_H-M_alt 'P 1'
_space_group_IT_number 1
_cell_length_a 3.259
_cell_length_b 7.875
_cell_length_c 7.968
_cell_angle_alpha 99.73
_cell_angle_beta 65.85
_cell_angle_gamma 114.38
loop_
_space_group_symop_operation_xyz
'x,y,z'
loop_
_atom_site_label
_atom_site_type_symbol
_atom_site_fract_x
_atom_site_fract_y
_atom_site_fract_z
Pu1 Pu 0.000 0.000 0.000
Hf1 Hf 0.000 0.500 0.500
Hf2 Hf 0.500 0.000 0.500
Sc1 Sc 0.552 0.277 0.224
Sc2 Sc 0.448 0.723 0.776
Sc3 Sc 0.001 0.277 0.776
Sc4 Sc 0.999 0.723 0.224
# Formation enthalpy at 0 K: 238 meV per atom

***

[14]
# PuHf2Sc7 PBE optimized geometry
data_PuHf2Sc7
_space_group_name_H-M_alt 'P 1'
_space_group_IT_number 1
_cell_length_a 3.180
_cell_length_b 10.782
_cell_length_c 7.871
_cell_angle_alpha 111.46
_cell_angle_beta 78.34
_cell_angle_gamma 81.54
loop_
_space_group_symop_operation_xyz
'x,y,z'
loop_
_atom_site_label
_atom_site_type_symbol
_atom_site_fract_x
_atom_site_fract_y
_atom_site_fract_z
Pu1 Pu 0.000 0.000 0.000
Hf1 Hf 0.387 0.923 0.304
Hf2 Hf 0.613 0.077 0.696
Sc1 Sc 0.091 0.621 0.196
Sc2 Sc 0.909 0.379 0.804
Sc3 Sc 0.694 0.199 0.414
Sc4 Sc 0.306 0.801 0.586
Sc5 Sc 0.295 0.293 0.118
Sc6 Sc 0.705 0.707 0.882
Sc7 Sc 0.500 0.500 0.500
# Formation enthalpy at 0 K: 48 meV per atom

***

[15]
# PuHf3Sc3 PBE optimized geometry
data_PuHf3Sc3
_space_group_name_H-M_alt 'P 1'
_space_group_IT_number 1
_cell_length_a 5.153
_cell_length_b 8.556
_cell_length_c 8.556
_cell_angle_alpha 120.00
_cell_angle_beta 90.00
_cell_angle_gamma 90.00
loop_
_space_group_symop_operation_xyz
'x,y,z'
loop_
_atom_site_label
_atom_site_type_symbol
_atom_site_fract_x
_atom_site_fract_y
_atom_site_fract_z
Pu1 Pu 0.250 0.333 0.667
Pu2 Pu 0.750 0.667 0.333
Hf1 Hf 0.750 0.510 0.902
Hf2 Hf 0.750 0.392 0.490
Hf3 Hf 0.250 0.902 0.392
Hf4 Hf 0.750 0.098 0.608
Hf5 Hf 0.250 0.608 0.510
Hf6 Hf 0.250 0.490 0.098
Sc1 Sc 0.750 0.809 0.755
Sc2 Sc 0.750 0.945 0.191
Sc3 Sc 0.250 0.755 0.945
Sc4 Sc 0.750 0.245 0.055
Sc5 Sc 0.250 0.055 0.809
Sc6 Sc 0.250 0.191 0.245
# Formation enthalpy at 0 K: 45 meV per atom

***

[16]
# Pu3HfSc6 PBE optimized geometry
data_Pu3HfSc6
_space_group_name_H-M_alt 'P 1'
_space_group_IT_number 1
_cell_length_a 5.754
_cell_length_b 10.523
_cell_length_c 10.523
_cell_angle_alpha 131.35
_cell_angle_beta 90.00
_cell_angle_gamma 90.00
loop_
_space_group_symop_operation_xyz
'x,y,z'
loop_
_atom_site_label
_atom_site_type_symbol
_atom_site_fract_x
_atom_site_fract_y
_atom_site_fract_z
Pu1 Pu 0.511 0.954 0.703
Pu2 Pu 0.011 0.703 0.954
Pu3 Pu 0.086 0.434 0.566
Pu4 Pu 0.586 0.566 0.434
Pu5 Pu 0.011 0.046 0.297
Pu6 Pu 0.511 0.297 0.046
Hf1 Hf 0.028 0.157 0.843
Hf2 Hf 0.528 0.843 0.157
Sc1 Sc 0.054 0.762 0.623
Sc2 Sc 0.554 0.623 0.762
Sc3 Sc 0.320 0.453 0.898
Sc4 Sc 0.820 0.898 0.453
Sc5 Sc 0.296 0.991 0.009
Sc6 Sc 0.806 0.304 0.696
Sc7 Sc 0.306 0.696 0.304
Sc8 Sc 0.796 0.009 0.991
Sc9 Sc 0.320 0.102 0.547
Sc10 Sc 0.820 0.547 0.102
Sc11 Sc 0.054 0.377 0.238
Sc12 Sc 0.554 0.238 0.377
# Formation enthalpy at 0 K: 149 meV per atom

***

[17]
# PuHf3Sc PBE optimized geometry
data_PuHf3Sc
_space_group_name_H-M_alt 'P 1'
_space_group_IT_number 1
_cell_length_a 5.045
_cell_length_b 6.319
_cell_length_c 8.997
_cell_angle_alpha 58.15
_cell_angle_beta 106.28
_cell_angle_gamma 90.00
loop_
_space_group_symop_operation_xyz
'x,y,z'
loop_
_atom_site_label
_atom_site_type_symbol
_atom_site_fract_x
_atom_site_fract_y
_atom_site_fract_z
Pu1 Pu 0.596 0.359 0.192
Pu2 Pu 0.404 0.641 0.808
Hf1 Hf 0.995 0.766 0.991
Hf2 Hf 0.005 0.234 0.009
Hf3 Hf 0.401 0.154 0.802
Hf4 Hf 0.599 0.846 0.198
Hf5 Hf 0.210 0.684 0.419
Hf6 Hf 0.790 0.316 0.581
Sc1 Sc 0.790 0.812 0.579
Sc2 Sc 0.210 0.188 0.421
# Formation enthalpy at 0 K: 90 meV per atom

***

[18]
# PuHfZr4Sc2 PBE optimized geometry
data_PuHfZr4Sc2
_space_group_name_H-M_alt 'P 1'
_space_group_IT_number 1
_cell_length_a 3.186
_cell_length_b 5.617
_cell_length_c 10.550
_cell_angle_alpha 80.69
_cell_angle_beta 90.00
_cell_angle_gamma 90.00
loop_
_space_group_symop_operation_xyz
'x,y,z'
loop_
_atom_site_label
_atom_site_type_symbol
_atom_site_fract_x
_atom_site_fract_y
_atom_site_fract_z
Pu1 Pu 0.500 0.500 0.000
Hf1 Hf 0.000 0.500 0.500
Zr1 Zr 0.000 0.752 0.750
Zr2 Zr 0.000 0.248 0.250
Zr3 Zr 0.500 0.745 0.252
Zr4 Zr 0.500 0.255 0.748
Sc1 Sc 0.000 0.000 0.000
Sc2 Sc 0.500 0.000 0.500
# Formation enthalpy at 0 K: 50 meV per atom

***

[19]
# PuHfZr2Sc PBE optimized geometry
data_PuHfZr2Sc
_space_group_name_H-M_alt 'P 1'
_space_group_IT_number 1
_cell_length_a 3.075
_cell_length_b 10.365
_cell_length_c 7.883
_cell_angle_alpha 90.00
_cell_angle_beta 90.00
_cell_angle_gamma 98.53
loop_
_space_group_symop_operation_xyz
'x,y,z'
loop_
_atom_site_label
_atom_site_type_symbol
_atom_site_fract_x
_atom_site_fract_y
_atom_site_fract_z
Pu1 Pu 0.765 0.530 0.750
Pu2 Pu 0.235 0.470 0.250
Hf1 Hf 0.000 0.000 0.000
Hf2 Hf 0.000 0.000 0.500
Zr1 Zr 0.147 0.294 0.935
Zr2 Zr 0.853 0.706 0.065
Zr3 Zr 0.147 0.294 0.565
Zr4 Zr 0.853 0.706 0.435
Sc1 Sc 0.406 0.813 0.750
Sc2 Sc 0.594 0.187 0.250
# Formation enthalpy at 0 K: 453 meV per atom

***

[20]
# PuHfZrSc PBE optimized geometry
data_PuHfZrSc
_space_group_name_H-M_alt 'P 1'
_space_group_IT_number 1
_cell_length_a 3.248
_cell_length_b 3.247
_cell_length_c 10.522
_cell_angle_alpha 90.02
_cell_angle_beta 98.86
_cell_angle_gamma 120.00
loop_
_space_group_symop_operation_xyz
'x,y,z'
loop_
_atom_site_label
_atom_site_type_symbol
_atom_site_fract_x
_atom_site_fract_y
_atom_site_fract_z
Pu1 Pu 0.302 0.550 0.866
Hf1 Hf 0.469 0.133 0.616
Zr1 Zr 0.136 0.965 0.118
Sc1 Sc 0.971 0.383 0.370
# Energy above the most stable polymorph in this dataset: 0.0 kJ per mole of atoms
# Formation enthalpy at 0 K: 95 meV per atom

***

Ordered calculated total energy results: -8.461 -8.143 -8.697 -6.775 -7.630 -8.617 -8.293 -9.023 -8.164 -7.002 -7.781 -8.237 -8.271 -7.808 -8.982 -8.945 -10.015 -8.843 -9.090 -9.696; unit eV per atom.